No. 1
5
Lattice="4.5269 0.0000 0.0000 0.0000 4.5269 0.0000 0.0000 0.0000 4.5269" Properties=species:S:1:pos:R:3 comment="NaCaC3 GGA-PBEsol optimized geometry" sg=Pm-3m formation_enthalpy_0k_ev_per_fu=15.08 pbc="T T T"
Na 0.0000 0.0000 0.0000
Ca 2.2635 2.2635 2.2635
C 0.0000 2.2635 2.2635
C 2.2635 0.0000 2.2635
C 2.2635 2.2635 0.0000

No. 2
5
Lattice="5.1818 0.0000 0.0000 0.0000 5.1818 0.0000 0.0000 0.0000 5.7079" Properties=species:S:1:pos:R:3 comment="Ag2HgSbN GGA-PBEsol optimized geometry" sg=P4/mmm raw_formation_energy_kj_per_mol_atoms=132 pbc="T T T"
Ag 0.0000 2.5909 0.0000
Ag 2.5909 0.0000 0.0000
Hg 0.0000 0.0000 2.8539
Sb 0.0000 0.0000 0.0000
N 2.5909 2.5909 2.8539

No. 3
4
Lattice="0.0000 2.8778 5.5753 2.8529 0.0000 5.5753 2.8529 2.8778 0.0000" Properties=species:S:1:pos:R:3 comment="LaCd2Ir GGA-PBEsol optimized geometry" sg=Fmmm formation_enthalpy_0k_ev_per_fu=-0.12 pbc="T T T"
La 0.0000 0.0000 0.0000
Cd 2.8529 1.4389 2.7876
Cd 0.0000 1.4389 2.7876
Ir 2.8529 2.8778 5.5753

No. 4
10
Lattice="0.0000 5.3926 5.3926 5.3926 0.0000 5.3926 5.3926 5.3926 0.0000" Properties=species:S:1:pos:R:3 comment="Cs2TlCuBr6 GGA-PBEsol optimized geometry" sg=Fm-3m raw_formation_energy_kj_per_mol_atoms=-98 pbc="T T T"
Cs 2.6963 2.6963 2.6963
Cs 8.0889 8.0889 8.0889
Tl 0.0000 0.0000 0.0000
Cu 5.3926 5.3926 5.3926
Br 5.3926 5.3926 2.8454
Br 5.3926 2.8454 5.3926
Br 7.9399 5.3926 5.3926
Br 2.8454 5.3926 5.3926
Br 5.3926 7.9399 5.3926
Br 5.3926 5.3926 7.9399